No. 1
A geometry-optimized UV2Sb structure. Source: Alexandria via LeMat-Bulk, functional PBE-GGA.

Cell lengths 4.6387, 4.6387, 4.6387 Å; angles 60.00, 60.00, 60.00 degrees
Element x y z (fractional)
V 0.2500 0.2500 0.2500
V 0.7500 0.7500 0.7500
Sb 0.5000 0.5000 0.5000
U 0.0000 0.0000 0.0000

## Properties
- excess energy over the best structure of this formula in the dataset (meV per atom) = 76
- E_form (uncorrected) (eV per formula unit) = 0.41

---

No. 2
A geometry-optimized UV4Sb structure. Source: Alexandria via LeMat-Bulk, functional PBE-GGA.

Cell lengths 5.2307, 5.2307, 5.2307 Å; angles 60.00, 60.00, 60.00 degrees
Element x y z (fractional)
U 0.2500 0.2500 0.2500
V 0.6213 0.1361 0.6213
V 0.6213 0.6213 0.1361
V 0.6213 0.6213 0.6213
V 0.1361 0.6213 0.6213
Sb 0.0000 0.0000 0.0000

## Properties
- E_form (uncorrected) (eV per formula unit) = 1.51

---

No. 3
A geometry-optimized UV2Sb structure. Source: Alexandria via LeMat-Bulk, functional PBE-GGA.

Cell lengths 3.3933, 3.3933, 6.2036 Å; angles 90.00, 90.00, 90.00 degrees
Element x y z (fractional)
V 0.0000 0.0000 0.2703
V 0.0000 0.0000 0.7297
Sb 0.5000 0.5000 0.0000
U 0.5000 0.5000 0.5000

## Properties
- excess energy over the best structure of this formula in the dataset (meV per atom) = 134
- E_form (uncorrected) (eV per formula unit) = 0.65

---

No. 4
A geometry-optimized UVSb structure. Source: Alexandria via LeMat-Bulk, functional PBE-GGA.

Cell lengths 3.2854, 3.2854, 6.0882 Å; angles 105.65, 105.65, 90.00 degrees
Element x y z (fractional)
U 0.3158 0.3158 0.6316
V 0.6587 0.6587 0.3174
Sb 0.0255 0.0255 0.0511

## Properties
- E_form (uncorrected) (eV per formula unit) = 0.32

---

No. 5
A geometry-optimized UV2Sb structure. Source: Alexandria via LeMat-Bulk, functional PBE-GGA.

Cell lengths 3.4929, 4.4703, 4.4703 Å; angles 90.00, 90.00, 90.00 degrees
Element x y z (fractional)
V 0.0000 0.0000 0.5000
V 0.0000 0.5000 0.0000
Sb 0.5000 0.0000 0.0000
U 0.5000 0.5000 0.5000

## Properties
- excess energy over the best structure of this formula in the dataset (meV per atom) = 0
- E_form (uncorrected) (eV per formula unit) = 0.11

---

No. 6
A geometry-optimized Y2USb3 structure. Source: Alexandria via LeMat-Bulk, functional PBE-GGA.

Cell lengths 4.3919, 4.3924, 9.7818 Å; angles 102.95, 102.95, 90.12 degrees
Element x y z (fractional)
U 0.4341 0.4360 0.8740
Y 0.7670 0.7683 0.5394
Y 0.1016 0.1028 0.2085
Sb 0.9340 0.9360 0.8740
Sb 0.6005 0.6017 0.2063
Sb 0.2682 0.2694 0.5416

## Properties
- E_form (uncorrected) (eV per formula unit) = -4.99